(1)
This record from Alexandria via LeMat-Bulk describes a geometry-optimized TbYU2As4 structure. The functional is PBE.

Geometry as extended XYZ:
```
8
Lattice="-4.027 0.070 -0.614 -1.070 -0.631 6.948 0.380 6.992 -1.695" Properties=species:S:1:pos:R:3 pbc="T T T"
U -0.345 3.181 2.626
U -1.823 3.531 -1.154
As -2.531 4.788 3.633
As -0.707 1.294 4.791
As -2.185 1.643 1.006
As 0.018 5.067 0.462
Y 0.000 0.000 0.000
Tb -2.548 -0.280 3.167
```

Summary:
Theoretical density: 8.7 g/cm³
Total moment: 4.936 μB/cell
Space-group type: P2/m (10)
Final energy: -7.68 eV per atom

(2)
This record from Alexandria via LeMat-Bulk describes a geometry-optimized HoPa2Os structure. The functional is PBE.

Geometry as extended XYZ:
```
4
Lattice="-2.900 0.834 -2.024 0.362 -3.130 -1.809 -4.393 -3.348 4.913" Properties=species:S:1:pos:R:3 pbc="T T T"
Pa -0.846 -0.645 0.946
Pa -3.547 -2.703 3.967
Os -1.269 -1.148 -1.917
Ho -3.465 -2.822 0.540
```

Summary:
Theoretical density: 13.9 g/cm³
Total moment: 0.000 μB/cell
Energy above the most stable polymorph in this dataset: 0.00 kJ per mole of atoms
Space-group type: P4/mmm (123)

(3)
This record from Alexandria via LeMat-Bulk describes a geometry-optimized KReSi2 structure. The functional is PBE.

Geometry as extended XYZ:
```
4
Lattice="5.226 -0.036 0.000 -1.562 4.987 0.000 0.000 0.000 2.660" Properties=species:S:1:pos:R:3 pbc="T T T"
K 2.613 -0.018 1.330
Re -0.781 2.494 1.330
Si 0.000 0.000 0.000
Si 1.832 2.476 0.000
```

Summary:
Theoretical density: 6.8 g/cm³
Total moment: 0.000 μB/cell
Uncorrected formation energy: 1051 meV/atom
Energy above the most stable polymorph in this dataset: 94.16 kJ per mole of atoms
Space-group type: Cmmm (65)

(4)
This record from Alexandria via LeMat-Bulk describes a geometry-optimized Na2YAu2 structure. The functional is PBE.

Geometry as extended XYZ:
```
5
Lattice="-1.855 1.294 -3.290 3.044 -1.305 -2.230 -2.712 -6.523 -3.459" Properties=species:S:1:pos:R:3 pbc="T T T"
Au -1.487 -5.286 -6.085
Au -0.036 -1.249 -2.893
Na 0.463 -3.917 -4.224
Na -1.987 -2.617 -4.754
Y 0.000 0.000 0.000
```

Summary:
Theoretical density: 7.5 g/cm³
Total moment: 0.000 μB/cell
Energy above the most stable polymorph in this dataset: 0.00 kJ per mole of atoms
Space-group type: I4/mmm (139)

(5)
This record from Alexandria via LeMat-Bulk describes a geometry-optimized AgSeSBr2 structure. The functional is PBE.

Geometry as extended XYZ:
```
5
Lattice="5.176 0.000 0.000 0.000 5.176 0.000 0.000 0.000 5.308" Properties=species:S:1:pos:R:3 pbc="T T T"
Br 0.000 2.588 0.000
Br 2.588 0.000 0.000
Ag 0.000 0.000 0.000
S 2.588 2.588 2.654
Se 0.000 0.000 2.654
```

Summary:
Theoretical density: 4.4 g/cm³
Total moment: 1.514 μB/cell
Uncorrected formation energy: 726 meV/atom
Energy above the most stable polymorph in this dataset: 29.46 kJ per mole of atoms
Space-group type: P4/mmm (123)

(6)
This record from Alexandria via LeMat-Bulk describes a geometry-optimized CaCe5Pb5 structure. The functional is PBE.

Geometry as extended XYZ:
```
11
Lattice="6.420 0.000 0.000 -3.210 5.937 -0.840 0.000 -3.231 9.930" Properties=species:S:1:pos:R:3 pbc="T T T"
Ce 3.210 -0.985 7.659
Ce 3.210 0.484 3.167
Ce 0.000 2.222 5.923
Ce 0.000 -1.615 4.965
Ce 0.000 3.691 1.431
Ca 0.000 0.000 0.000
Pb 0.000 0.898 3.028
Pb 0.000 -0.407 8.071
Pb 3.210 0.000 0.000
Pb 3.210 1.808 6.061
Pb 3.210 3.113 1.019
```

Summary:
Theoretical density: 8.2 g/cm³
Total moment: 4.321 μB/cell
Space-group type: C2/m (12)
Final energy: -4.72 eV per atom

(7)
This record from Alexandria via LeMat-Bulk describes a geometry-optimized Y4HgBi2Se structure. The functional is PBE.

Geometry as extended XYZ:
```
8
Lattice="-1.018 -1.890 3.725 0.606 -6.550 -3.157 7.398 -2.493 0.757" Properties=species:S:1:pos:R:3 pbc="T T T"
Se -0.206 -4.220 0.284
Y 6.082 -6.713 -1.744
Y 0.905 -4.219 3.069
Y 1.732 -6.377 -0.280
Y 5.255 -4.555 1.606
Bi 3.190 -2.191 2.241
Bi 7.398 -2.493 0.757
Hg 4.002 -4.521 -1.200
```

Summary:
Theoretical density: 7.5 g/cm³
Total moment: 0.000 μB/cell
Uncorrected formation energy: -957 meV/atom
Space-group type: P2/m (10)

(8)
This record from Alexandria via LeMat-Bulk describes a geometry-optimized Tm2InIr structure. The functional is PBE.

Geometry as extended XYZ:
```
4
Lattice="5.007 0.000 0.000 2.504 4.336 0.000 2.504 1.445 4.088" Properties=species:S:1:pos:R:3 pbc="T T T"
In 0.000 0.000 0.000
Tm 2.504 1.445 1.022
Tm 7.511 4.336 3.066
Ir 5.007 2.891 2.044
```

Summary:
Theoretical density: 12.1 g/cm³
Total moment: 0.000 μB/cell
Energy above the most stable polymorph in this dataset: 11.52 kJ per mole of atoms
Space-group type: Fm-3m (225)

Question: Which value of total moment does entry 1 give?
Answer: 4.936 μB/cell

Question: Among the records above, which one has the highest total moment?
Answer: TbYU2As4

Question: Which of these has the lowest theoretical density?
Answer: AgSeSBr2

Question: Look up the theoretical density of the fifth one.
Answer: 4.4 g/cm³